(1)
Here is Be2Cu at its PBEsol-relaxed geometry from the Alexandria database. Energies are from SCAN.

Cell: 4.1983 4.1983 4.1983 Å, 60.00 60.00 60.00°
Closest atoms and distances in Å follow each position.
Atoms (fractional coordinates):
Be1 0.1250 0.1250 0.1250  6 Be 2.10
Be2 0.1250 0.1250 0.6250  6 Be 2.10
Be3 0.1250 0.6250 0.1250  6 Be 2.10
Be4 0.6250 0.1250 0.1250  6 Be 2.10
Cu1 0.5000 0.5000 0.5000  12 Be 2.46, 4 Cu 2.57
Cu2 0.7500 0.7500 0.7500  12 Be 2.46, 4 Cu 2.57

Output
The calculation puts the total energy at -24.516 eV per formula unit. The volume comes out at 8.7 Å³ per atom. The space group is Fd-3m, No. 227. The value obtained for the energy relative to the lowest polymorph listed for this composition is 0 kJ/mol of formula units. Its energy of formation is -0.20 eV per atom.

***

(2)
Here is BeCu at its PBEsol-relaxed geometry from the Alexandria database. Energies are from SCAN.

Cell: 2.3662 3.7517 4.6352 Å, 90.00 104.79 90.00°
Closest atoms and distances in Å follow each position.
Atoms (fractional coordinates):
Be1 0.8274 0.7500 0.6548  5 Cu 2.23-2.37, 2 Be 2.37
Be2 0.1726 0.2500 0.3452  5 Cu 2.23-2.37, 2 Be 2.37
Cu1 0.5788 0.7500 0.1575  5 Be 2.23-2.37, 4 Cu 2.35-2.37
Cu2 0.4212 0.2500 0.8425  5 Be 2.23-2.37, 4 Cu 2.35-2.37

Output
The calculation puts the total energy at -19.611 eV per formula unit. The volume comes out at 9.9 Å³ per atom. The space group is Cmcm, No. 63. Its energy of formation is -0.03 eV per atom.

***

(3)
Here is Be2Cu at its PBEsol-relaxed geometry from the Alexandria database. Energies are from SCAN.

Cell: 2.5512 4.2571 5.5090 Å, 108.91 90.07 107.43°
Closest atoms and distances in Å follow each position.
Atoms (fractional coordinates):
Be1 0.9750 0.9520 0.7439  4 Be 2.21, 5 Cu 2.27-2.37
Be2 0.6545 0.3088 0.0493  7 Be 2.21-2.38, 3 Cu 2.29-2.39
Be3 0.3455 0.6912 0.9507  7 Be 2.21-2.38, 3 Cu 2.29-2.39
Be4 0.0250 0.0480 0.2561  4 Be 2.21, 5 Cu 2.27-2.37
Cu1 0.3336 0.6670 0.3780  8 Be 2.27-2.39
Cu2 0.6664 0.3330 0.6220  8 Be 2.27-2.39

Output
The calculation puts the total energy at -24.226 eV per formula unit. The volume comes out at 8.9 Å³ per atom. The space group is C2/m, No. 12. The value obtained for the energy relative to the lowest polymorph listed for this composition is 28 kJ/mol of formula units. Its energy of formation is -0.11 eV per atom.

***

(4)
Here is Be3Cu at its PBEsol-relaxed geometry from the Alexandria database. Energies are from SCAN.

Cell: 3.6601 3.6601 3.6601 Å, 60.00 60.00 60.00°
Closest atoms and distances in Å follow each position.
Atoms (fractional coordinates):
Be1 0.2500 0.2500 0.2500  4 Be 2.24, 4 Cu 2.24
Be2 0.5000 0.5000 0.5000  8 Be 2.24
Be3 0.7500 0.7500 0.7500  4 Be 2.24, 4 Cu 2.24
Cu1 0.0000 0.0000 0.0000  8 Be 2.24

Output
The calculation puts the total energy at -28.706 eV per formula unit. The volume comes out at 8.7 Å³ per atom. The space group is Fm-3m, No. 225. Its energy of formation is -0.11 eV per atom.